The following is a PBE with a Hubbard U calculation of crystalline CrReF2 at its relaxed geometry, from Alexandria via LeMat-Bulk.

Cell lengths 4.225, 4.225, 4.225 Å; angles 60.00, 60.00, 60.00 degrees
Site moments in Bohr magnetons follow the coordinates.
Fractional positions:
Re 0.500 0.500 0.500  1.56
F 0.250 0.250 0.250  0.10
F 0.750 0.750 0.750  0.10
Cr 0.000 0.000 0.000  4.12

## Properties
calculated total energy	-0.4072	Ry/atom
energy relative to the lowest polymorph listed for this composition	1175.6	meV/atom